[1]
{
  "formula": "Mo2RhCl",
  "functional": "PBE-GGA",
  "state": "optimized geometry",
  "lattice": [[-0.084, 1.981, 4.265], [-1.372, -3.101, 1.413], [3.407, -1.219, 0.633]],
  "species": ["Mo", "Mo", "Cl", "Rh"],
  "frac_coords": [[0.000, 0.000, 0.000], [0.000, 0.500, 0.500], [0.500, 0.000, 0.500], [0.500, 0.500, 0.000]],
  "magnetic_moment_mub_per_fu": 0.0,
  "e_form_raw_ev_per_atom": 0.89,
  "e_above_lowest_polymorph_ev_per_atom": 0.8010
}

=====

[2]
{
  "formula": "Mo2RhCl",
  "functional": "PBE-GGA",
  "state": "optimized geometry",
  "lattice": [[-0.243, 2.772, 0.589], [-1.075, -1.004, -2.434], [-7.826, -1.557, 4.097]],
  "species": ["Mo", "Rh", "Mo", "Cl"],
  "frac_coords": [[0.000, 0.000, 0.500], [0.500, 0.500, 0.250], [0.000, 0.000, 0.000], [0.500, 0.500, 0.750]],
  "magnetic_moment_mub_per_fu": 0.0,
  "e_form_raw_ev_per_atom": 0.46,
  "e_above_lowest_polymorph_ev_per_atom": 0.3746
}

=====

[3]
{
  "formula": "Mo2RhCl",
  "functional": "PBE-GGA",
  "state": "optimized geometry",
  "lattice": [[2.905, 0.000, 0.000], [0.000, 2.905, 0.000], [0.000, 0.000, 6.991]],
  "species": ["Rh", "Mo", "Cl", "Mo"],
  "frac_coords": [[0.500, 0.500, 0.250], [0.000, 0.000, 0.989], [0.500, 0.500, 0.750], [0.000, 0.000, 0.511]],
  "magnetic_moment_mub_per_fu": 0.0,
  "e_form_raw_ev_per_atom": 0.34,
  "e_above_lowest_polymorph_ev_per_atom": 0.2547
}

=====

[4]
{
  "formula": "Mo2RhCl",
  "functional": "PBE-GGA",
  "state": "optimized geometry",
  "lattice": [[-3.142, 3.910, -0.397], [-4.881, -1.169, 0.361], [4.123, -1.008, 2.702]],
  "species": ["Mo", "Rh", "Mo", "Cl"],
  "frac_coords": [[0.000, 0.000, 0.000], [0.500, 0.500, 0.000], [0.250, 0.750, 0.500], [0.750, 0.250, 0.500]],
  "magnetic_moment_mub_per_fu": 0.3,
  "e_form_raw_ev_per_atom": 0.85,
  "e_above_lowest_polymorph_ev_per_atom": 0.7673
}

=====

[5]
{
  "formula": "MoRh4Cl",
  "functional": "PBE-GGA",
  "state": "optimized geometry",
  "lattice": [[3.125, -3.202, 2.527], [-1.608, -4.724, 1.226], [1.976, -4.090, -2.402]],
  "species": ["Cl", "Rh", "Rh", "Rh", "Rh", "Mo"],
  "frac_coords": [[0.250, 0.250, 0.250], [0.625, 0.625, 0.625], [0.625, 0.625, 0.124], [0.625, 0.124, 0.625], [0.124, 0.625, 0.625], [0.000, 0.000, 0.000]],
  "magnetic_moment_mub_per_fu": 0.0,
  "e_form_raw_ev_per_atom": 0.68
}

=====

[6]
{
  "formula": "Mo2RhCl",
  "functional": "PBE-GGA",
  "state": "optimized geometry",
  "lattice": [[2.858, 0.016, 0.000], [-0.015, 2.858, 0.000], [0.000, 0.000, 7.930]],
  "species": ["Cl", "Rh", "Mo", "Mo"],
  "frac_coords": [[0.500, 0.500, 0.784], [0.000, 0.000, 0.470], [0.000, 0.000, 0.995], [0.500, 0.500, 0.252]],
  "magnetic_moment_mub_per_fu": 0.0,
  "e_form_raw_ev_per_atom": 0.17,
  "e_above_lowest_polymorph_ev_per_atom": 0.0855
}

=====

[7]
{
  "formula": "MoRh2Cl",
  "functional": "PBE-GGA",
  "state": "optimized geometry",
  "lattice": [[-0.420, -1.062, 4.299], [-1.470, 3.030, 2.906], [-4.045, -0.425, 1.801]],
  "species": ["Cl", "Mo", "Rh", "Rh"],
  "frac_coords": [[0.000, 0.000, 0.000], [0.500, 0.500, 0.500], [0.750, 0.750, 0.750], [0.250, 0.250, 0.250]],
  "magnetic_moment_mub_per_fu": 0.0,
  "e_form_raw_ev_per_atom": 0.70,
  "e_above_lowest_polymorph_ev_per_atom": 0.6299
}

=====

[8]
{
  "formula": "MoRhCl3",
  "functional": "PBE-GGA",
  "state": "optimized geometry",
  "lattice": [[4.819, 0.000, 0.000], [0.000, 4.819, 0.000], [0.000, 0.000, 4.819]],
  "species": ["Rh", "Cl", "Mo", "Cl", "Cl"],
  "frac_coords": [[0.000, 0.000, 0.000], [0.500, 0.000, 0.000], [0.500, 0.500, 0.500], [0.000, 0.000, 0.500], [0.000, 0.500, 0.000]],
  "magnetic_moment_mub_per_fu": 4.6,
  "e_form_raw_ev_per_atom": 0.47
}

=====

[9]
{
  "formula": "MoRh2Cl",
  "functional": "PBE-GGA",
  "state": "optimized geometry",
  "lattice": [[4.035, 0.000, 0.000], [0.000, 2.851, -0.011], [0.000, 1.749, 5.199]],
  "species": ["Rh", "Mo", "Rh", "Cl"],
  "frac_coords": [[0.000, 0.386, 0.502], [0.500, 0.750, 0.750], [0.000, 0.114, 0.998], [0.500, 0.250, 0.250]],
  "magnetic_moment_mub_per_fu": 0.0,
  "e_form_raw_ev_per_atom": 0.27,
  "e_above_lowest_polymorph_ev_per_atom": 0.1985
}

=====

[10]
{
  "formula": "MoRh2Cl",
  "functional": "PBE-GGA",
  "state": "optimized geometry",
  "lattice": [[8.638, -0.019, -0.011], [8.160, 2.832, -0.011], [8.160, 1.367, 2.481]],
  "species": ["Rh", "Mo", "Rh", "Cl"],
  "frac_coords": [[0.501, 0.501, 0.501], [0.250, 0.250, 0.250], [0.999, 0.999, 0.999], [0.750, 0.750, 0.750]],
  "magnetic_moment_mub_per_fu": 0.0,
  "e_form_raw_ev_per_atom": 0.11,
  "e_above_lowest_polymorph_ev_per_atom": 0.0381
}

=====

[11]
{
  "formula": "MoRh2Cl",
  "functional": "PBE-GGA",
  "state": "optimized geometry",
  "lattice": [[-3.496, -3.596, -1.589], [0.815, -2.369, -4.626], [1.657, 0.976, 4.897]],
  "species": ["Cl", "Rh", "Rh", "Mo"],
  "frac_coords": [[0.750, 0.250, 0.500], [0.508, 0.508, 0.000], [0.992, 0.992, 0.000], [0.250, 0.750, 0.500]],
  "magnetic_moment_mub_per_fu": 0.0,
  "e_form_raw_ev_per_atom": 0.38,
  "e_above_lowest_polymorph_ev_per_atom": 0.3131
}

=====

[12]
{
  "formula": "Mo2RhCl",
  "functional": "PBE-GGA",
  "state": "optimized geometry",
  "lattice": [[-4.585, -2.595, -0.545], [-1.287, -3.726, 3.538], [1.153, 5.085, -0.930]],
  "species": ["Mo", "Mo", "Cl", "Rh"],
  "frac_coords": [[0.476, 0.476, 0.000], [0.024, 0.024, 0.000], [0.250, 0.750, 0.500], [0.750, 0.250, 0.500]],
  "magnetic_moment_mub_per_fu": 0.0,
  "e_form_raw_ev_per_atom": 0.51,
  "e_above_lowest_polymorph_ev_per_atom": 0.4223
}

=====

[13]
{
  "formula": "MoRh2Cl",
  "functional": "PBE-GGA",
  "state": "optimized geometry",
  "lattice": [[-2.030, -4.858, 1.277], [0.784, -2.136, 4.917], [-2.007, 3.976, -3.085]],
  "species": ["Rh", "Mo", "Cl", "Rh"],
  "frac_coords": [[0.026, 0.026, 0.000], [0.270, 0.770, 0.500], [0.478, 0.478, 0.000], [0.725, 0.225, 0.500]],
  "magnetic_moment_mub_per_fu": 0.0,
  "e_form_raw_ev_per_atom": 0.42,
  "e_above_lowest_polymorph_ev_per_atom": 0.3496
}

=====

[14]
{
  "formula": "Mo2RhCl",
  "functional": "PBE-GGA",
  "state": "optimized geometry",
  "lattice": [[5.180, 0.025, 0.000], [2.453, 4.562, 0.000], [-3.817, -2.294, 2.647]],
  "species": ["Rh", "Cl", "Mo", "Mo"],
  "frac_coords": [[0.250, 0.750, 0.500], [0.750, 0.250, 0.500], [0.500, 0.500, 0.000], [0.000, 0.000, 0.000]],
  "magnetic_moment_mub_per_fu": 0.0,
  "e_form_raw_ev_per_atom": 0.81,
  "e_above_lowest_polymorph_ev_per_atom": 0.7221
}

=====

[15]
{
  "formula": "MoRhS2Cl",
  "functional": "PBE-GGA",
  "state": "optimized geometry",
  "lattice": [[-3.295, 0.926, 3.136], [2.877, -1.294, 3.405], [1.617, 4.541, 0.359]],
  "species": ["S", "Mo", "S", "Cl", "Rh"],
  "frac_coords": [[0.500, 0.000, 0.000], [0.000, 0.000, 0.000], [0.000, 0.500, 0.000], [0.000, 0.000, 0.500], [0.500, 0.500, 0.500]],
  "magnetic_moment_mub_per_fu": 1.6,
  "e_form_raw_ev_per_atom": 0.51,
  "e_above_lowest_polymorph_ev_per_atom": 0.0000
}

=====

[16]
{
  "formula": "MoRhS2Cl",
  "functional": "PBE-GGA",
  "state": "optimized geometry",
  "lattice": [[4.686, 0.000, 0.000], [0.000, 4.686, 0.000], [0.000, 0.000, 4.608]],
  "species": ["Cl", "Rh", "S", "S", "Mo"],
  "frac_coords": [[0.000, 0.000, 0.500], [0.000, 0.000, 0.000], [0.000, 0.500, 0.000], [0.500, 0.000, 0.000], [0.500, 0.500, 0.500]],
  "magnetic_moment_mub_per_fu": 3.1,
  "e_form_raw_ev_per_atom": 0.67,
  "e_above_lowest_polymorph_ev_per_atom": 0.1588
}

=====

[17]
{
  "formula": "Sc2MoRhCl",
  "functional": "PBE-GGA",
  "state": "optimized geometry",
  "lattice": [[-3.745, -2.764, 0.769], [0.599, -1.893, -3.888], [2.795, -3.230, 2.003]],
  "species": ["Sc", "Mo", "Sc", "Rh", "Cl"],
  "frac_coords": [[0.500, 0.000, 0.000], [0.500, 0.500, 0.500], [0.000, 0.000, 0.500], [0.000, 0.500, 0.000], [0.000, 0.000, 0.000]],
  "magnetic_moment_mub_per_fu": 1.8,
  "e_form_raw_ev_per_atom": 0.22
}

=====

[18]
{
  "formula": "TaMo2RhCl",
  "functional": "PBE-GGA",
  "state": "optimized geometry",
  "lattice": [[4.805, 0.000, 0.000], [0.000, 4.860, 0.000], [0.000, 0.000, 4.805]],
  "species": ["Mo", "Mo", "Cl", "Ta", "Rh"],
  "frac_coords": [[0.000, 0.000, 0.500], [0.500, 0.000, 0.000], [0.500, 0.500, 0.500], [0.000, 0.500, 0.000], [0.000, 0.000, 0.000]],
  "magnetic_moment_mub_per_fu": 1.6,
  "e_form_raw_ev_per_atom": 1.66
}

=====

[19]
{
  "formula": "TeMoRh2Cl",
  "functional": "PBE-GGA",
  "state": "optimized geometry",
  "lattice": [[4.852, 0.000, 0.000], [0.000, 5.241, 0.000], [0.000, 0.000, 4.852]],
  "species": ["Te", "Cl", "Rh", "Rh", "Mo"],
  "frac_coords": [[0.000, 0.000, 0.000], [0.000, 0.500, 0.000], [0.000, 0.000, 0.500], [0.500, 0.000, 0.000], [0.500, 0.500, 0.500]],
  "magnetic_moment_mub_per_fu": 4.5,
  "e_form_raw_ev_per_atom": 1.27
}

=====

[20]
{
  "formula": "VMo2RhCl",
  "functional": "PBE-GGA",
  "state": "optimized geometry",
  "lattice": [[-0.366, -3.194, 2.997], [3.726, 1.216, 1.751], [-2.151, 2.751, 2.669]],
  "species": ["Mo", "V", "Rh", "Mo", "Cl"],
  "frac_coords": [[0.000, 0.000, 0.500], [0.500, 0.500, 0.500], [0.000, 0.500, 0.000], [0.500, 0.000, 0.000], [0.000, 0.000, 0.000]],
  "magnetic_moment_mub_per_fu": 0.0,
  "e_form_raw_ev_per_atom": 1.04
}

=====

[21]
{
  "formula": "MoRuCl",
  "functional": "PBE-GGA",
  "state": "optimized geometry",
  "lattice": [[-2.300, -0.090, -3.491], [-1.871, -0.079, 3.739], [-0.118, 2.925, 0.002]],
  "species": ["Ru", "Mo", "Cl"],
  "frac_coords": [[0.333, 0.667, 0.715], [0.667, 0.333, 0.214], [0.000, 0.000, 0.071]],
  "magnetic_moment_mub_per_fu": 0.0,
  "e_form_raw_ev_per_atom": 0.50,
  "e_above_lowest_polymorph_ev_per_atom": 0.3542
}

=====

[22]
{
  "formula": "MoRuCl",
  "functional": "PBE-GGA",
  "state": "optimized geometry",
  "lattice": [[-2.454, 1.550, -0.068], [0.192, -2.340, 1.709], [2.192, 3.682, 4.795]],
  "species": ["Ru", "Mo", "Cl"],
  "frac_coords": [[0.667, 0.333, 0.644], [0.333, 0.667, 0.330], [0.000, 0.000, 0.027]],
  "magnetic_moment_mub_per_fu": 0.0,
  "e_form_raw_ev_per_atom": 0.15,
  "e_above_lowest_polymorph_ev_per_atom": 0.0000
}

=====

[23]
{
  "formula": "MoRuCl",
  "functional": "PBE-GGA",
  "state": "optimized geometry",
  "lattice": [[5.891, 0.008, 0.000], [4.435, 3.878, 0.000], [-5.163, -1.943, 2.068]],
  "species": ["Cl", "Ru", "Mo"],
  "frac_coords": [[0.988, 0.988, 0.000], [0.684, 0.684, 0.000], [0.328, 0.328, 0.000]],
  "magnetic_moment_mub_per_fu": 0.0,
  "e_form_raw_ev_per_atom": 0.18,
  "e_above_lowest_polymorph_ev_per_atom": 0.0341
}

=====

[24]
{
  "formula": "MoRu2Cl",
  "functional": "PBE-GGA",
  "state": "optimized geometry",
  "lattice": [[2.872, 0.000, 0.000], [0.000, 4.586, 0.000], [0.000, 0.000, 4.586]],
  "species": ["Mo", "Ru", "Cl", "Ru"],
  "frac_coords": [[0.500, 0.000, 0.500], [0.000, 0.000, 0.000], [0.500, 0.500, 0.000], [0.000, 0.500, 0.500]],
  "magnetic_moment_mub_per_fu": 0.0,
  "e_form_raw_ev_per_atom": 0.85,
  "e_above_lowest_polymorph_ev_per_atom": 0.5639
}

=====

[25]
{
  "formula": "MoRu2Cl",
  "functional": "PBE-GGA",
  "state": "optimized geometry",
  "lattice": [[5.215, -0.002, 0.001], [2.518, 4.567, -0.001], [-3.327, -3.197, 2.431]],
  "species": ["Cl", "Ru", "Ru", "Mo"],
  "frac_coords": [[0.504, 0.504, 0.000], [0.001, 0.001, 0.000], [0.270, 0.770, 0.500], [0.726, 0.226, 0.500]],
  "magnetic_moment_mub_per_fu": 0.0,
  "e_form_raw_ev_per_atom": 0.61,
  "e_above_lowest_polymorph_ev_per_atom": 0.3159
}

=====

[26]
{
  "formula": "MoRuCl",
  "functional": "PBE-GGA",
  "state": "optimized geometry",
  "lattice": [[-3.456, 0.799, -2.247], [-3.759, -1.213, 1.426], [-2.761, 2.865, 1.342]],
  "species": ["Ru", "Cl", "Mo"],
  "frac_coords": [[0.000, 0.000, 0.000], [0.500, 0.500, 0.500], [0.750, 0.750, 0.750]],
  "magnetic_moment_mub_per_fu": 0.0,
  "e_form_raw_ev_per_atom": 0.74,
  "e_above_lowest_polymorph_ev_per_atom": 0.5970
}

=====

[27]
{
  "formula": "MoRu2Cl",
  "functional": "PBE-GGA",
  "state": "optimized geometry",
  "lattice": [[-1.883, 3.436, 3.122], [-0.328, 1.670, 4.712], [3.538, 2.522, -0.659]],
  "species": ["Ru", "Mo", "Cl", "Ru"],
  "frac_coords": [[0.970, 0.970, 0.014], [0.250, 0.250, 0.250], [0.750, 0.750, 0.750], [0.530, 0.530, 0.486]],
  "magnetic_moment_mub_per_fu": 0.0,
  "e_form_raw_ev_per_atom": 0.50,
  "e_above_lowest_polymorph_ev_per_atom": 0.2075
}

=====

[28]
{
  "formula": "MoRu2Cl",
  "functional": "PBE-GGA",
  "state": "optimized geometry",
  "lattice": [[-1.130, 1.104, -4.078], [2.368, -1.428, -3.388], [-1.649, -3.015, -2.704]],
  "species": ["Cl", "Mo", "Ru", "Ru"],
  "frac_coords": [[0.500, 0.500, 0.500], [0.750, 0.750, 0.750], [0.000, 0.000, 0.000], [0.250, 0.250, 0.250]],
  "magnetic_moment_mub_per_fu": 0.0,
  "e_form_raw_ev_per_atom": 0.79,
  "e_above_lowest_polymorph_ev_per_atom": 0.4961
}

=====

[29]
{
  "formula": "MoRu2Cl",
  "functional": "PBE-GGA",
  "state": "optimized geometry",
  "lattice": [[2.861, -0.001, 0.000], [-1.298, 2.550, 0.000], [0.000, 0.000, 8.543]],
  "species": ["Ru", "Cl", "Ru", "Mo"],
  "frac_coords": [[0.000, 0.000, 0.505], [0.500, 0.500, 0.250], [0.000, 0.000, 0.995], [0.500, 0.500, 0.750]],
  "magnetic_moment_mub_per_fu": 0.0,
  "e_form_raw_ev_per_atom": 0.52,
  "e_above_lowest_polymorph_ev_per_atom": 0.2325
}

=====

[30]
{
  "formula": "MoRu2Cl",
  "functional": "PBE-GGA",
  "state": "optimized geometry",
  "lattice": [[-0.395, -0.997, 4.283], [-3.923, 0.351, 1.995], [-2.185, -3.635, 1.228]],
  "species": ["Ru", "Cl", "Mo", "Ru"],
  "frac_coords": [[0.750, 0.750, 0.750], [0.000, 0.000, 0.000], [0.500, 0.500, 0.500], [0.250, 0.250, 0.250]],
  "magnetic_moment_mub_per_fu": 0.0,
  "e_form_raw_ev_per_atom": 0.91,
  "e_above_lowest_polymorph_ev_per_atom": 0.6184
}